Version one
Below is a relaxed structure of BeBrCl2, with properties calculated at the PBE level.

```
BeBrCl2
1.0
-0.3945 -0.8708 2.8177
2.5723 -1.4921 -0.1009
5.4418 9.1384 3.5862
Cl Be Br
2 1 1
direct
0.0000 0.0000 0.1231
0.0000 0.0000 0.3769
0.5000 0.5000 0.2500
0.5000 0.5000 0.7500
```

Computed properties:
Crystal system: tetragonal

***

Version two
Below is a relaxed structure of BeBrCl2, with properties calculated at the PBE level.

```
BeBrCl2
1.0
-0.5054 -8.3052 8.0575
-1.9966 -9.8829 5.7006
1.2031 -9.9104 5.8729
Be Cl Br
1 2 1
direct
0.5000 0.5000 0.5000
0.1297 0.1297 0.1297
0.8703 0.8703 0.8703
0.0000 0.0000 0.0000
```

Computed properties:
Crystal system: trigonal

***

Version three
Below is a relaxed structure of BeBrCl2, with properties calculated at the PBE level.

```
BeBrCl2
1.0
0.0000 3.4311 3.4311
3.4311 0.0000 3.4311
3.4311 3.4311 0.0000
Cl Be Br
2 1 1
direct
0.2500 0.2500 0.2500
0.7500 0.7500 0.7500
0.0000 0.0000 0.0000
0.5000 0.5000 0.5000
```

Computed properties:
Crystal system: cubic

***

Of them, version two has the highest stability.

***

Version one
Below is a relaxed structure of BeBr2Cl2, with properties calculated at the PBE level.

```
BeBr2Cl2
1.0
3.6906 0.0000 0.0000
0.0000 3.6906 0.0000
1.8453 1.8453 10.6088
Be Cl Br
1 2 2
direct
0.0000 0.0000 0.0000
0.5698 0.5698 0.8604
0.4302 0.4302 0.1396
0.2500 0.7500 0.5000
0.7500 0.2500 0.5000
```

Computed properties:
Crystal system: tetragonal

***

Version two
Below is a relaxed structure of BeBr2Cl2, with properties calculated at the PBE level.

```
BeBr2Cl2
1.0
5.9956 0.0000 0.0000
0.0000 5.9956 0.0000
0.0000 0.0000 8.6153
Br Be Cl
4 2 4
direct
0.1386 0.6386 0.5000
0.6386 0.8614 0.5000
0.3614 0.1386 0.5000
0.8614 0.3614 0.5000
0.5000 0.5000 0.0000
0.0000 0.0000 0.0000
0.6928 0.1928 0.0000
0.1928 0.3072 0.0000
0.8072 0.6928 0.0000
0.3072 0.8072 0.0000
```

Computed properties:
Crystal system: tetragonal

***

Of them, version two has the highest stability.

***

Version one
Below is a relaxed structure of BeBr3Cl, with properties calculated at the PBE level.

```
BeBr3Cl
1.0
5.3291 0.0000 0.0000
0.0000 5.3291 0.0000
0.0000 0.0000 5.3291
Br Cl Be
3 1 1
direct
0.0000 0.0000 0.5000
0.5000 0.0000 0.0000
0.0000 0.5000 0.0000
0.0000 0.0000 0.0000
0.5000 0.5000 0.5000
```

Computed properties:
Crystal system: cubic

***

Version two
Below is a relaxed structure of BeBr3Cl, with properties calculated at the PBE level.

```
BeBr3Cl
1.0
4.8733 0.0000 0.0000
0.0000 4.8733 0.0000
0.0000 0.0000 4.8733
Cl Br Be
1 3 1
direct
0.5000 0.5000 0.5000
0.0000 0.0000 0.5000
0.5000 0.0000 0.0000
0.0000 0.5000 0.0000
0.0000 0.0000 0.0000
```

Computed properties:
Crystal system: cubic

***

Of them, version two has the highest stability.

***

Version one
Below is a relaxed structure of BePBrCl2, with properties calculated at the PBE level.

```
BePBrCl2
1.0
-2.1753 1.2699 -3.3098
2.1403 -2.6252 -2.4139
-5.4418 -5.7108 1.3855
Br Be Cl P
1 1 2 1
direct
0.5000 0.5000 0.5000
0.0000 0.0000 0.0000
0.5000 0.0000 0.0000
0.0000 0.5000 0.0000
0.0000 0.0000 0.5000
```

Computed properties:
Crystal system: tetragonal

***

Version two
Below is a relaxed structure of BePBrCl2, with properties calculated at the PBE level.

```
BePBrCl2
1.0
5.1147 0.0000 0.0000
0.0000 5.1147 0.0000
0.0000 0.0000 5.1500
Cl Br Be P
2 1 1 1
direct
0.5000 0.0000 0.0000
0.0000 0.5000 0.0000
0.0000 0.0000 0.0000
0.5000 0.5000 0.5000
0.0000 0.0000 0.5000
```

Computed properties:
Crystal system: tetragonal

***

Of them, version one has the highest stability.